No. 1
Material: Mn2WSe
Method: DFT, PBE
State: optimized geometry

a b c (Å): 8.5766 8.5766 8.5766
angles (deg): 20.09 20.09 20.09
Last column: magnetic moment on the atom in μB.
Atoms (fractional coordinates):
1 Mn 0.0005 0.0005 0.0005  3.21
2 Mn 0.2514 0.2514 0.2514  3.54
3 Se 0.4942 0.4942 0.4942  0.02
4 W 0.7539 0.7539 0.7539  0.00

Computed properties:
**DOS(E_F)**: 0.7342 states/eV per atom
**ρ**: 9.50 g/cm3
**Electronic total energy**: -8.269 eV per atom
**Symmetry**: No. 160
**Volume**: 65 Å³/cell

***

No. 2
Material: MnWSe2
Method: DFT, PBE
State: optimized geometry

a b c (Å): 3.6884 3.6880 6.7592
angles (deg): 89.75 90.00 90.00
Last column: magnetic moment on the atom in μB.
Atoms (fractional coordinates):
1 Mn 0.5000 0.8750 0.6250  2.38
2 Se 0.0000 0.8729 0.8820  -0.03
3 Se 0.5000 0.3771 0.3680  -0.03
4 W 0.0000 0.3750 0.6250  -0.36

Computed properties:
**DOS(E_F)**: 0.6488 states/eV per atom
**ρ**: 7.16 g/cm3
**Symmetry**: No. 6
**Volume**: 92 Å³/cell
**Distance to the lowest polymorph of the same formula**: 0 meV per atom